VZnSi4O10 | PBE+U | relaxed

## Properties
As for the space group: P4/ncc (130). The calculation puts the uncorrected energy at -7.401 eV/atom.

a = 7.325 Å, b = 7.325 Å, c = 15.064 Å
α = 90.00°, β = 90.00°, γ = 90.00°
Fractional positions:
V: 0.000 0.500 0.430
O: 0.246 0.434 0.628
O: 0.182 0.818 0.250
O: 0.934 0.254 0.628
O: 0.226 0.085 0.576
O: 0.585 0.726 0.076
O: 0.726 0.585 0.424
O: 0.754 0.566 0.628
V: 0.000 0.500 0.930
O: 0.066 0.254 0.128
Si: 0.736 0.653 0.147
Si: 0.847 0.764 0.647
Si: 0.764 0.847 0.853
O: 0.085 0.774 0.424
Si: 0.153 0.236 0.647
O: 0.915 0.774 0.924
O: 0.566 0.246 0.372
O: 0.066 0.746 0.628
Zn: 0.000 0.000 0.000
Si: 0.264 0.653 0.647
O: 0.566 0.754 0.872
O: 0.818 0.182 0.250
O: 0.682 0.318 0.750
Si: 0.847 0.236 0.147
O: 0.746 0.066 0.872
O: 0.682 0.682 0.250
O: 0.085 0.226 0.924
O: 0.274 0.415 0.424
Si: 0.347 0.736 0.853
O: 0.415 0.274 0.076
O: 0.746 0.934 0.372
V: 0.500 0.000 0.570
Si: 0.347 0.264 0.353
Si: 0.736 0.347 0.647
O: 0.274 0.585 0.924
Si: 0.236 0.847 0.353
Si: 0.153 0.764 0.147
O: 0.182 0.182 0.750
O: 0.934 0.746 0.128
Si: 0.653 0.264 0.853
O: 0.226 0.915 0.076
O: 0.726 0.415 0.924
O: 0.415 0.726 0.576
O: 0.818 0.818 0.750
O: 0.318 0.682 0.750
Si: 0.653 0.736 0.353
O: 0.915 0.226 0.424
O: 0.434 0.246 0.872
O: 0.754 0.434 0.128
Si: 0.764 0.153 0.353
O: 0.585 0.274 0.576
O: 0.254 0.934 0.872
Zn: 0.500 0.500 0.500
O: 0.434 0.754 0.372
Zn: 0.500 0.500 0.000
O: 0.774 0.085 0.076
Si: 0.264 0.347 0.147
O: 0.246 0.566 0.128
Zn: 0.000 0.000 0.500
O: 0.774 0.915 0.576
Si: 0.236 0.153 0.853
O: 0.254 0.066 0.372
V: 0.500 0.000 0.070
O: 0.318 0.318 0.250